Entry 1:
Here is a relaxed structure of SrMn2P from the Alexandria database. Energies are from PBE.

a = 4.4385 Å, b = 3.5430 Å, c = 5.5831 Å
α = 90.00°, β = 107.26°, γ = 90.00°
Fractional positions:
Sr  0.0000  0.0000  0.0000
Mn  0.2395  0.5000  0.5723
Mn  0.7605  0.5000  0.4277
P  0.5000  0.0000  0.5000

Entry 2:
Here is a relaxed structure of Sr2MnP from the Alexandria database. Energies are from PBE.

a = 4.2026 Å, b = 6.5342 Å, c = 6.5342 Å
α = 40.04°, β = 90.00°, γ = 90.00°
Fractional positions:
Sr  0.0000  0.0000  0.0000
Sr  0.5000  0.2809  0.2809
Mn  0.0000  0.6902  0.6902
P  0.5000  0.5845  0.5845

Entry 3:
Here is a relaxed structure of SrMnP2 from the Alexandria database. Energies are from PBE.

a = 3.8210 Å, b = 4.5568 Å, c = 5.0333 Å
α = 90.00°, β = 90.00°, γ = 90.00°
Fractional positions:
Sr  0.0000  0.0000  0.0000
Mn  0.0000  0.5000  0.5000
P  0.5000  0.5000  0.2295
P  0.5000  0.5000  0.7705

Summary:
The calculation puts the energy above the most stable polymorph in this dataset at 0.1005 eV/atom.

Entry 4:
Here is a relaxed structure of Sr2MnP from the Alexandria database. Energies are from PBE.

a = 3.9024 Å, b = 3.9024 Å, c = 7.3084 Å
α = 90.00°, β = 90.00°, γ = 90.00°
Fractional positions:
Sr  0.0000  0.0000  0.2167
Sr  0.0000  0.0000  0.7833
Mn  0.5000  0.5000  0.5000
P  0.5000  0.5000  0.0000

Entry 5:
Here is a relaxed structure of Sr2MnP from the Alexandria database. Energies are from PBE.

a = 7.6596 Å, b = 7.6596 Å, c = 7.6596 Å
α = 149.07°, β = 146.49°, γ = 46.25°
Fractional positions:
Sr  0.0000  0.0000  0.0000
Sr  0.7481  0.2481  0.5000
Mn  0.3277  0.8277  0.5000
P  0.4177  0.4177  0.0000

Entry 6:
Here is a relaxed structure of SrMnP from the Alexandria database. Energies are from PBE.

a = 4.9336 Å, b = 4.9336 Å, c = 4.9336 Å
α = 60.00°, β = 60.00°, γ = 60.00°
Fractional positions:
Sr  0.0000  0.0000  0.0000
Mn  0.2500  0.2500  0.2500
P  0.7500  0.7500  0.7500

Entry 7:
Here is a relaxed structure of SrMnP from the Alexandria database. Energies are from PBE.

a = 5.9502 Å, b = 5.9502 Å, c = 5.9502 Å
α = 147.45°, β = 147.45°, γ = 46.69°
Fractional positions:
Sr  0.0000  0.0000  0.0000
Mn  0.7238  0.7238  0.0000
P  0.2817  0.2817  0.0000

Entry 8:
Here is a relaxed structure of SrMnP2 from the Alexandria database. Energies are from PBE.

a = 4.6483 Å, b = 4.6483 Å, c = 3.7895 Å
α = 90.00°, β = 90.00°, γ = 90.00°
Fractional positions:
Sr  0.0000  0.0000  0.0000
Mn  0.5000  0.5000  0.0000
P  0.0000  0.5000  0.5000
P  0.5000  0.0000  0.5000

Summary:
The calculation puts the energy above the most stable polymorph in this dataset at 0.5918 eV/atom.

Number 1: final energy -24.92 eV/cell. Number 2: final energy -19.44 eV/cell. Number 3: final energy -23.68 eV/cell. Number 4: final energy -18.42 eV/cell. Number 5: final energy -19.06 eV/cell. Number 6: final energy -14.56 eV/cell. Number 7: final energy -16.76 eV/cell. Number 8: final energy -21.71 eV/cell.